[1]
Material: Ho5Tl3Hg
Method: DFT, PBE
State: optimized geometry

Values from the calculation:
total energy = -3.73 eV/atom
symmetry = P6_3/mcm (193)

abc: 9.1837 9.1837 6.7358
angles: 90.00 90.00 120.00
With the nearest neighbours (Å) after each atom.
Element x y z (fractional)
Ho (0.2821, 0.2821, 0.7500)  2 Hg 3.09, 3 Tl 3.12-3.13
Tl (0.6215, 0.0000, 0.2500)  9 Ho 3.12-3.48
Ho (0.0000, 0.7179, 0.7500)  2 Hg 3.09, 3 Tl 3.12-3.13
Ho (0.3333, 0.6667, 0.0000)  6 Tl 3.33, 8 Ho 3.37-3.72
Ho (0.7179, 0.0000, 0.7500)  2 Hg 3.09, 3 Tl 3.12-3.13
Hg (0.0000, 0.0000, 0.5000)  6 Ho 3.09, 2 Hg 3.37
Ho (0.6667, 0.3333, 0.5000)  6 Tl 3.33, 8 Ho 3.37-3.72
Ho (0.6667, 0.3333, 0.0000)  6 Tl 3.33, 8 Ho 3.37-3.72
Tl (0.3785, 0.3785, 0.2500)  9 Ho 3.12-3.48
Tl (0.0000, 0.3785, 0.7500)  9 Ho 3.12-3.48
Hg (0.0000, 0.0000, 0.0000)  6 Ho 3.09, 2 Hg 3.37
Ho (0.2821, 0.0000, 0.2500)  2 Hg 3.09, 3 Tl 3.12-3.13
Ho (0.7179, 0.7179, 0.2500)  2 Hg 3.09, 3 Tl 3.12-3.13
Tl (0.6215, 0.6215, 0.7500)  9 Ho 3.12-3.48
Tl (0.0000, 0.6215, 0.2500)  9 Ho 3.12-3.48
Ho (0.0000, 0.2821, 0.2500)  2 Hg 3.09, 3 Tl 3.12-3.13
Ho (0.3333, 0.6667, 0.5000)  6 Tl 3.33, 8 Ho 3.37-3.72
Tl (0.3785, 0.0000, 0.7500)  9 Ho 3.12-3.48

[2]
Material: La2SnGeAu2
Method: DFT, PBE
State: optimized geometry

Values from the calculation:
total energy = -5.03 eV/atom
symmetry = P3m1 (156)

abc: 4.7013 4.7013 7.9318
angles: 90.00 90.00 120.00
With the nearest neighbours (Å) after each atom.
Element x y z (fractional)
La (0.3333, 0.6667, 0.2414)  3 Au 3.19, 3 Sn 3.26, 3 Ge 3.51
Ge (0.0000, 0.0000, 0.9613)  3 Au 2.77
Au (0.0000, 0.0000, 0.5422)  3 Sn 2.78
Au (0.6667, 0.3333, 0.0303)  3 Ge 2.77
La (0.3333, 0.6667, 0.7566)  3 Ge 3.16, 6 Au 3.20-3.48
Sn (0.6667, 0.3333, 0.4682)  3 Au 2.78

[3]
Material: MgSnIr2
Method: DFT, PBE
State: optimized geometry

Values from the calculation:
symmetry = P4/mmm (123)
energy above the most stable polymorph in this dataset = 80.2 meV per atom

abc: 3.2379 3.2379 6.2119
angles: 90.00 90.00 90.00
With the nearest neighbours (Å) after each atom.
Element x y z (fractional)
Mg (0.0000, 0.0000, 0.5000)  8 Ir 2.77
Sn (0.0000, 0.0000, 0.0000)  8 Ir 2.76
Ir (0.5000, 0.5000, 0.2491)  4 Sn 2.76, 4 Mg 2.77, 1 Ir 3.09
Ir (0.5000, 0.5000, 0.7509)  4 Sn 2.76, 4 Mg 2.77, 1 Ir 3.09

[4]
Material: Li2GaIr
Method: DFT, PBE
State: optimized geometry

Values from the calculation:
total energy = -4.35 eV/atom
symmetry = P-4m2 (115)

abc: 4.2217 4.2217 5.9712
angles: 90.00 90.00 90.00
With the nearest neighbours (Å) after each atom.
Element x y z (fractional)
Li (0.0000, 0.5000, 0.7488)  4 Ir 2.58-2.59, 4 Li 2.58-2.59
Ir (0.0000, 0.0000, 0.5000)  4 Li 2.58, 4 Ga 2.59
Ga (0.0000, 0.5000, 0.2501)  4 Li 2.59, 4 Ir 2.59
Li (0.5000, 0.5000, 0.5000)  4 Li 2.58, 4 Ga 2.59
Ga (0.5000, 0.0000, 0.7499)  4 Li 2.59, 4 Ir 2.59
Li (0.0000, 0.0000, 0.0000)  4 Ga 2.59, 4 Li 2.59
Li (0.5000, 0.0000, 0.2512)  4 Li 2.58-2.59, 4 Ir 2.58-2.59
Ir (0.5000, 0.5000, 0.0000)  4 Ga 2.59, 4 Li 2.59

[5]
Material: LiTlCoHg
Method: DFT, PBE
State: optimized geometry

Values from the calculation:
symmetry = F-43m (216)
energy above the most stable polymorph in this dataset = 0.0 meV per atom

abc: 4.5621 4.5621 4.5621
angles: 60.00 60.00 60.00
With the nearest neighbours (Å) after each atom.
Element x y z (fractional)
Co (0.7500, 0.7500, 0.7500)  4 Hg 2.79, 4 Tl 2.79
Tl (0.0000, 0.0000, 0.0000)  4 Li 2.79, 4 Co 2.79
Hg (0.5000, 0.5000, 0.5000)  4 Li 2.79, 4 Co 2.79
Li (0.2500, 0.2500, 0.2500)  4 Hg 2.79, 4 Tl 2.79

[6]
Material: MoH4
Method: DFT, PBE
State: optimized geometry

Values from the calculation:
total energy = -4.60 eV/atom
symmetry = P2/m (10)

abc: 3.8975 3.8975 4.8018
angles: 102.61 102.61 89.43
With the nearest neighbours (Å) after each atom.
Element x y z (fractional)
H (0.0748, 0.0748, 0.7783)  2 Mo 1.87, 4 H 1.95
H (0.5742, 0.5742, 0.7784)  2 Mo 1.87, 4 H 1.95
Mo (0.7500, 0.2500, 0.5000)  8 H 1.87
Mo (0.2500, 0.7500, 0.5000)  8 H 1.87
H (0.0729, 0.5739, 0.7752)  2 Mo 1.87, 4 H 1.95
H (0.4258, 0.4258, 0.2216)  2 Mo 1.87, 4 H 1.95
H (0.9252, 0.9252, 0.2217)  2 Mo 1.87, 4 H 1.95
H (0.4261, 0.9271, 0.2248)  2 Mo 1.87, 4 H 1.95
H (0.9271, 0.4261, 0.2248)  2 Mo 1.87, 4 H 1.95
H (0.5739, 0.0729, 0.7752)  2 Mo 1.87, 4 H 1.95

[7]
Material: Er4Tm3Ni2Te2
Method: DFT, PBE
State: optimized geometry

Values from the calculation:
symmetry = Imm2 (44)
energy above the most stable polymorph in this dataset = 0.0 meV per atom

abc: 9.2581 9.2581 9.2581
angles: 156.19 66.91 118.51
With the nearest neighbours (Å) after each atom.
Element x y z (fractional)
Ni (0.5157, 0.7532, 0.7625)  2 Tm 2.76, 4 Er 2.77-2.81
Te (0.4164, 0.9164, 0.5000)  4 Tm 3.15-3.17, 4 Er 3.16
Er (0.3974, 0.2642, 0.1332)  2 Ni 2.77
Te (0.0185, 0.0185, 0.0000)  6 Er 3.11-3.13, 1 Tm 3.19
Er (0.1310, 0.2642, 0.8668)  2 Ni 2.77
Ni (0.9907, 0.7532, 0.2375)  2 Tm 2.76, 4 Er 2.77-2.81
Er (0.0580, 0.4115, 0.6465)  2 Ni 2.81, 2 Te 3.13
Tm (0.7458, 0.0604, 0.6854)  2 Ni 2.76
Tm (0.3751, 0.0604, 0.3146)  2 Ni 2.76
Er (0.7650, 0.4115, 0.3535)  2 Ni 2.81, 2 Te 3.13
Tm (0.6812, 0.6812, 0.0000)  3 Te 3.15-3.19

[8]
Material: BaErAgSeS2
Method: DFT, PBE
State: optimized geometry

Values from the calculation:
total energy = -5.08 eV/atom
symmetry = Cmcm (63)

abc: 7.3506 7.3506 10.5924
angles: 90.00 90.00 147.23
With the nearest neighbours (Å) after each atom.
Element x y z (fractional)
Ba (0.7420, 0.2580, 0.7500)  2 Se 3.22, 4 S 3.36
Se (0.4162, 0.5837, 0.7500)  2 Ag 2.64, 2 Er 2.90
S (0.8715, 0.1285, 0.0508)  1 Ag 2.51, 2 Er 2.81
Ag (0.9677, 0.0323, 0.2500)  2 S 2.51, 2 Se 2.64
Ba (0.2580, 0.7420, 0.2500)  2 Se 3.22, 4 S 3.36
S (0.1285, 0.8715, 0.9492)  1 Ag 2.51, 2 Er 2.81
Er (0.5000, 0.5000, 0.0000)  4 S 2.81, 2 Se 2.90
S (0.8715, 0.1285, 0.4492)  1 Ag 2.51, 2 Er 2.81
Er (0.5000, 0.5000, 0.5000)  4 S 2.81, 2 Se 2.90
Se (0.5837, 0.4162, 0.2500)  2 Ag 2.64, 2 Er 2.90
Ag (0.0323, 0.9677, 0.7500)  2 S 2.51, 2 Se 2.64
S (0.1285, 0.8715, 0.5508)  1 Ag 2.51, 2 Er 2.81

[9]
Material: Sr2Ta2O5
Method: DFT, PBE
State: optimized geometry

Values from the calculation:
symmetry = P4/mmm (123)
energy above the most stable polymorph in this dataset = 0.0 meV per atom

abc: 7.5115 4.0553 4.0553
angles: 90.00 90.00 90.00
With the nearest neighbours (Å) after each atom.
Element x y z (fractional)
Sr (0.0000, 0.0000, 0.0000)  8 O 2.67
O (0.5000, 0.5000, 0.5000)  2 Ta 2.11
O (0.7697, 0.0000, 0.5000)  2 Ta 2.03
Ta (0.2194, 0.5000, 0.5000)  5 O 2.03-2.11
Sr (0.5000, 0.0000, 0.0000)  12 O 2.87
O (0.2303, 0.0000, 0.5000)  2 Ta 2.03
Ta (0.7806, 0.5000, 0.5000)  5 O 2.03-2.11
O (0.7697, 0.5000, 0.0000)  2 Ta 2.03
O (0.2303, 0.5000, 0.0000)  2 Ta 2.03

[10]
Material: AcIn5Pt2
Method: DFT, PBE
State: optimized geometry

Values from the calculation:
total energy = -4.29 eV/atom
symmetry = Immm (71)

abc: 7.0490 7.0490 7.0490
angles: 143.68 108.11 83.30
With the nearest neighbours (Å) after each atom.
Element x y z (fractional)
In (0.1561, 0.3462, 0.8099)  3 Pt 2.73-2.92
In (0.4636, 0.6538, 0.8099)  3 Pt 2.73-2.92
In (0.5000, 0.0000, 0.5000)  2 Pt 2.72
In (0.8439, 0.6538, 0.1901)  3 Pt 2.73-2.92
Pt (0.7582, 0.2582, 0.5000)  7 In 2.72-2.92
Ac (0.0000, 0.0000, 0.0000)  4 Pt 3.36, 8 In 3.75
Pt (0.2418, 0.7418, 0.5000)  7 In 2.72-2.92
In (0.5364, 0.3462, 0.1901)  3 Pt 2.73-2.92

[11]
Material: AlTl2AgH6
Method: DFT, PBE
State: optimized geometry

Values from the calculation:
total energy = -2.93 eV/atom
symmetry = Fm-3m (225)

abc: 5.5715 5.5715 5.5715
angles: 60.00 60.00 60.00
With the nearest neighbours (Å) after each atom.
Element x y z (fractional)
Al (0.5000, 0.5000, 0.5000)  6 H 1.79
H (0.2728, 0.2728, 0.7272)  1 Al 1.79
H (0.7272, 0.2728, 0.2728)  1 Al 1.79
H (0.2729, 0.7272, 0.7272)  1 Al 1.79
H (0.7272, 0.2729, 0.7272)  1 Al 1.79
H (0.7272, 0.7272, 0.2729)  1 Al 1.79
Tl (0.2500, 0.2500, 0.2500)  12 H 2.79
H (0.2728, 0.7272, 0.2728)  1 Al 1.79
Ag (0.0000, 0.0000, 0.0000)  6 H 2.15
Tl (0.7500, 0.7500, 0.7500)  12 H 2.79

[12]
Material: LiHfScPt
Method: DFT, PBE
State: optimized geometry

Values from the calculation:
symmetry = F-43m (216)
energy above the most stable polymorph in this dataset = 0.0 meV per atom

abc: 4.6584 4.6584 4.6584
angles: 60.00 60.00 60.00
With the nearest neighbours (Å) after each atom.
Element x y z (fractional)
Pt (0.2500, 0.2500, 0.2500)  4 Sc 2.85, 4 Hf 2.85
Li (0.7500, 0.7500, 0.7500)  4 Hf 2.85, 4 Sc 2.85
Hf (0.5000, 0.5000, 0.5000)  4 Li 2.85, 4 Pt 2.85
Sc (0.0000, 0.0000, 0.0000)  4 Pt 2.85, 4 Li 2.85